[1]
LiAlAg2: single point on PBEsol structure, SCAN.

DOS(E_F) in states/eV/atom: 0.279
SG: No. 119
Calculated total energy in Ha/atom: -0.678

Lattice parameters (Å, degrees): 3.8539 3.8539 8.2496 90.00 90.00 90.00
Atoms (fractional coordinates):
Li1 0.0000 0.0000 0.0000
Li2 0.5000 0.5000 0.5000
Al1 0.0000 0.5000 0.7500
Al2 0.5000 0.0000 0.2500
Ag1 0.0000 0.0000 0.5000
Ag2 0.0000 0.5000 0.2500
Ag3 0.5000 0.0000 0.7500
Ag4 0.5000 0.5000 0.0000

=====

[2]
Ca2Co2Ge: single point on PBEsol structure, SCAN.

DOS(E_F) in states/eV/atom: 0.444
SG: No. 139
Calculated total energy in Ha/atom: -0.538

Lattice parameters (Å, degrees): 3.2609 3.2609 18.1020 90.00 90.00 90.00
Atoms (fractional coordinates):
Ca1 0.0000 0.0000 0.1137
Ca2 0.0000 0.0000 0.8863
Ca3 0.5000 0.5000 0.3863
Ca4 0.5000 0.5000 0.6137
Co1 0.0000 0.5000 0.2500
Co2 0.0000 0.5000 0.7500
Co3 0.5000 0.0000 0.2500
Co4 0.5000 0.0000 0.7500
Ge1 0.0000 0.0000 0.5000
Ge2 0.5000 0.5000 0.0000

=====

[3]
Li2CaRh: single point on PBEsol structure, SCAN.

DOS(E_F) in states/eV/atom: 0.351
SG: No. 71
Calculated total energy in Ha/atom: -0.449

Lattice parameters (Å, degrees): 3.2557 4.6718 9.8645 90.00 90.00 90.00
Atoms (fractional coordinates):
Li1 0.0000 0.0000 0.2090
Li2 0.0000 0.0000 0.7910
Li3 0.5000 0.5000 0.2910
Li4 0.5000 0.5000 0.7090
Ca1 0.0000 0.5000 0.0000
Ca2 0.5000 0.0000 0.5000
Rh1 0.0000 0.5000 0.5000
Rh2 0.5000 0.0000 0.0000

=====

[4]
Al5Tc3: single point on PBEsol structure, SCAN.

DOS(E_F) in states/eV/atom: 0.607
SG: No. 65
Calculated total energy in Ha/atom: -0.678

Lattice parameters (Å, degrees): 6.6374 8.0498 4.1783 90.00 90.00 90.00
Atoms (fractional coordinates):
Al1 0.0000 0.0000 0.0000
Al2 0.2085 0.5000 0.5000
Al3 0.2500 0.2500 0.0000
Al4 0.2500 0.7500 0.0000
Al5 0.2915 0.0000 0.5000
Al6 0.5000 0.5000 0.0000
Al7 0.7085 0.0000 0.5000
Al8 0.7500 0.2500 0.0000
Al9 0.7500 0.7500 0.0000
Al10 0.7915 0.5000 0.5000
Tc1 0.0000 0.2145 0.5000
Tc2 0.0000 0.5000 0.0000
Tc3 0.0000 0.7855 0.5000
Tc4 0.5000 0.0000 0.0000
Tc5 0.5000 0.2855 0.5000
Tc6 0.5000 0.7145 0.5000

=====

[5]
Mn2WCl: single point on PBEsol structure, SCAN.

Formation energy without anion corrections in meV per atom: 291.3
DOS(E_F) in states/eV/atom: 0.366
SG: No. 12
Calculated total energy in Ha/atom: -1.038

Lattice parameters (Å, degrees): 7.4477 2.8383 7.4291 90.00 120.01 90.00
Atoms (fractional coordinates):
Mn1 0.1345 0.0000 0.3072
Mn2 0.3655 0.5000 0.6928
Mn3 0.6345 0.5000 0.3072
Mn4 0.8655 0.0000 0.6928
W1 0.0000 0.5000 0.5000
W2 0.5000 0.0000 0.5000
Cl1 0.0000 0.5000 0.0000
Cl2 0.5000 0.0000 0.0000

=====

[6]
RbTeH3: single point on PBEsol structure, SCAN.

DOS(E_F) in states/eV/atom: 0.347
SG: No. 221
Calculated total energy in Ha/atom: -0.496

Lattice parameters (Å, degrees): 4.3620 4.3620 4.3620 90.00 90.00 90.00
Atoms (fractional coordinates):
Rb1 0.0000 0.0000 0.0000
Te1 0.5000 0.5000 0.5000
H1 0.0000 0.5000 0.5000
H2 0.5000 0.0000 0.5000
H3 0.5000 0.5000 0.0000

=====

[7]
Sb2MoRu: single point on PBEsol structure, SCAN.

Formation energy without anion corrections in meV per atom: 487.1
DOS(E_F) in states/eV/atom: 0.875
SG: No. 119
Calculated total energy in Ha/atom: -1.307

Lattice parameters (Å, degrees): 3.8412 3.8412 9.7125 90.00 90.00 90.00
Atoms (fractional coordinates):
Sb1 0.0000 0.0000 0.0000
Sb2 0.0000 0.5000 0.2500
Sb3 0.5000 0.0000 0.7500
Sb4 0.5000 0.5000 0.5000
Mo1 0.0000 0.0000 0.5000
Mo2 0.5000 0.5000 0.0000
Ru1 0.0000 0.5000 0.7500
Ru2 0.5000 0.0000 0.2500

=====

[8]
SrScCl: single point on PBEsol structure, SCAN.

Formation energy without anion corrections in meV per atom: -886.7
DOS(E_F) in states/eV/atom: 0.875
SG: No. 156
Calculated total energy in Ha/atom: -0.578

Lattice parameters (Å, degrees): 3.6601 3.6601 6.7489 90.00 90.00 120.00
Atoms (fractional coordinates):
Sr1 0.0000 0.0000 0.0000
Sc1 0.6667 0.3333 0.4247
Cl1 0.3333 0.6667 0.6769